Material: MgTc2Se
Method: DFT, GGA-PBE
State: optimized geometry

abc: 5.3700 5.3700 5.3700
angles: 146.78 130.68 60.77
Each line ends with the local moment (μB).
Fractional positions:
Mg (0.4960, 0.4960, 0.0000)  0.00
Se (0.2263, 0.7263, 0.5000)  0.00
Tc (0.0072, 0.0072, 0.0000)  0.20
Tc (0.7705, 0.2705, 0.5000)  0.01

E_tot, eV/cell: -24.84
Relative energy among the computed polymorphs, eV per atom: 0.2441
E_form (uncorrected), eV/atom: 0.2437
Crystal system: orthorhombic